1.
Here is a geometry-optimized ZnReRu2 structure from the Alexandria database. Energies are from PBE-GGA.

Computed properties:
The calculated volume is 262.4 Å³ per cell. As for the total magnetization: 0.0 μB per formula unit. The space group is No. 122. The formation energy is 0.672 eV per atom.

The structure in POSCAR format:
```
ZnReRu2
1.0
6.988 0.000 0.000
0.000 6.988 0.000
0.000 0.000 5.374
Zn Re Ru
4 4 8
direct
0.000 0.000 0.000 Zn
0.000 0.500 0.250 Zn
0.500 0.000 0.750 Zn
0.500 0.500 0.500 Zn
0.000 0.000 0.500 Re
0.000 0.500 0.750 Re
0.500 0.000 0.250 Re
0.500 0.500 0.000 Re
0.215 0.250 0.625 Ru
0.250 0.715 0.875 Ru
0.250 0.785 0.375 Ru
0.285 0.250 0.125 Ru
0.715 0.750 0.125 Ru
0.750 0.215 0.375 Ru
0.750 0.285 0.875 Ru
0.785 0.750 0.625 Ru
```

2.
Here is a geometry-optimized ZnReRu2 structure from the Alexandria database. Energies are from PBE-GGA.

Computed properties:
The calculated volume is 57.0 Å³ per cell. As for the total magnetization: 0.0 μB per formula unit. The space group is No. 99. The formation energy is 0.158 eV per atom.

The structure in POSCAR format:
```
ZnReRu2
1.0
2.719 0.000 0.000
0.000 2.719 0.000
0.000 0.000 7.711
Zn Re Ru
1 1 2
direct
0.000 0.000 0.000 Zn
0.500 0.500 0.262 Re
0.000 0.000 0.512 Ru
0.500 0.500 0.752 Ru
```

3.
Here is a geometry-optimized ZnReRu2 structure from the Alexandria database. Energies are from PBE-GGA.

Computed properties:
The calculated volume is 112.7 Å³ per cell. As for the total magnetization: 0.0 μB per formula unit. The space group is No. 71. The formation energy is 0.221 eV per atom.

The structure in POSCAR format:
```
ZnReRu2
1.0
2.909 0.000 0.000
0.000 4.471 0.000
0.000 0.000 8.666
Zn Re Ru
2 2 4
direct
0.000 0.000 0.000 Zn
0.500 0.500 0.500 Zn
0.000 0.000 0.500 Re
0.500 0.500 0.000 Re
0.000 0.500 0.257 Ru
0.000 0.500 0.743 Ru
0.500 0.000 0.243 Ru
0.500 0.000 0.757 Ru
```

4.
Here is a geometry-optimized ZnReRu2 structure from the Alexandria database. Energies are from PBE-GGA.

Computed properties:
The calculated volume is 113.5 Å³ per cell. As for the total magnetization: 0.0 μB per formula unit. The space group is No. 44. The formation energy is 0.177 eV per atom.

The structure in POSCAR format:
```
ZnReRu2
1.0
3.021 0.000 0.000
0.000 4.287 0.000
0.000 0.000 8.765
Zn Re Ru
2 2 4
direct
0.000 0.000 0.000 Zn
0.500 0.500 0.500 Zn
0.000 0.500 0.748 Re
0.500 0.000 0.248 Re
0.000 0.000 0.494 Ru
0.000 0.500 0.259 Ru
0.500 0.000 0.759 Ru
0.500 0.500 0.994 Ru
```

5.
Here is a geometry-optimized ZnReRu2 structure from the Alexandria database. Energies are from PBE-GGA.

Computed properties:
The calculated volume is 113.4 Å³ per cell. As for the total magnetization: 0.0 μB per formula unit. The space group is No. 119. The formation energy is 0.178 eV per atom.

The structure in POSCAR format:
```
ZnReRu2
1.0
3.706 0.000 0.000
0.000 3.706 0.000
0.000 0.000 8.252
Zn Re Ru
2 2 4
direct
0.000 0.000 0.000 Zn
0.500 0.500 0.500 Zn
0.000 0.500 0.750 Re
0.500 0.000 0.250 Re
0.000 0.000 0.500 Ru
0.000 0.500 0.250 Ru
0.500 0.000 0.750 Ru
0.500 0.500 0.000 Ru
```

6.
Here is a geometry-optimized ZnReRu2 structure from the Alexandria database. Energies are from PBE-GGA.

Computed properties:
The calculated volume is 172.2 Å³ per cell. As for the total magnetization: 0.0 μB per formula unit. The space group is No. 160. The formation energy is 0.093 eV per atom.

The structure in POSCAR format:
```
ZnReRu2
1.0
2.744 0.000 0.000
-1.372 2.377 0.000
0.000 0.000 26.403
Zn Re Ru
3 3 6
direct
0.000 0.000 0.000 Zn
0.333 0.667 0.667 Zn
0.667 0.333 0.333 Zn
0.000 0.000 0.246 Re
0.333 0.667 0.912 Re
0.667 0.333 0.579 Re
0.000 0.000 0.499 Ru
0.000 0.000 0.750 Ru
0.333 0.667 0.165 Ru
0.333 0.667 0.416 Ru
0.667 0.333 0.083 Ru
0.667 0.333 0.832 Ru
```